Entry from Alexandria: CrSbS2 after structural relaxation (PBE).

Unit cell a=8.264 b=8.264 c=8.264 alpha=24.22 beta=24.22 gamma=24.22
Fractional positions:
Cr (0.000, 0.000, 0.000)
Sb (0.500, 0.500, 0.500)
S (0.387, 0.387, 0.387)
S (0.613, 0.613, 0.613)

Summary:
**M_tot**: 2.98 μB per formula unit

=====

Entry from Alexandria: Ta2TlTe after structural relaxation (PBE).

Unit cell a=3.101 b=3.101 c=10.586 alpha=90.00 beta=90.00 gamma=108.93
Fractional positions:
Ta (0.000, 0.000, 0.000)
Ta (0.500, 0.500, 0.193)
Tl (0.500, 0.500, 0.751)
Te (0.000, 0.000, 0.403)

Summary:
**Distance to the lowest polymorph of the same formula**: 70 meV per atom
**M_tot**: 0.00 μB per formula unit

=====

no.,density of states at the Fermi level (states/eV/cell),volume (A^3/atom),formation energy without anion corrections (meV per atom)
1,0.8,20.9,-460
2,3.6,24.1,240